(1)
First-principles (PBE) data for a relaxed structure of Ba4TcAg, as listed in the Alexandria database.

**Density**: 5.0 Mg/m³
**Space-group type**: No. 216
**Energy of formation from the pure elements**: 1.101 eV/atom

```
Ba4TcAg
1.0
0.000 5.009 5.009
5.009 0.000 5.009
5.009 5.009 0.000
Ba Tc Ag
4 1 1
direct
0.124 0.124 0.124 Ba
0.124 0.124 0.627 Ba
0.124 0.627 0.124 Ba
0.627 0.124 0.124 Ba
0.750 0.750 0.750 Tc
0.500 0.500 0.500 Ag
```

(2)
First-principles (PBE) data for a relaxed structure of BaTcAg, as listed in the Alexandria database.

**Density**: 6.5 Mg/m³
**Space-group type**: No. 187
**Energy above the lowest structure with this stoichiometry**: 0.0000 eV per atom
**Energy of formation from the pure elements**: 0.781 eV/atom

```
BaTcAg
1.0
4.640 0.000 0.000
-2.320 4.019 0.000
0.000 0.000 4.737
Ba Tc Ag
1 1 1
direct
0.000 0.000 0.000 Ba
0.667 0.333 0.500 Tc
0.333 0.667 0.500 Ag
```

(3)
First-principles (PBE) data for a relaxed structure of BaTcAg2, as listed in the Alexandria database.

**Density**: 7.4 Mg/m³
**Space-group type**: No. 225
**Energy above the lowest structure with this stoichiometry**: 0.2784 eV per atom
**Energy of formation from the pure elements**: 0.749 eV/atom

```
BaTcAg2
1.0
0.000 3.694 3.694
3.694 0.000 3.694
3.694 3.694 0.000
Ba Tc Ag
1 1 2
direct
0.000 0.000 0.000 Ba
0.500 0.500 0.500 Tc
0.250 0.250 0.250 Ag
0.750 0.750 0.750 Ag
```

(4)
First-principles (PBE) data for a relaxed structure of BaTcAg, as listed in the Alexandria database.

**Density**: 6.7 Mg/m³
**Space-group type**: No. 216
**Energy above the lowest structure with this stoichiometry**: 0.3138 eV per atom
**Energy of formation from the pure elements**: 1.095 eV/atom

```
BaTcAg
1.0
0.000 3.498 3.498
3.498 0.000 3.498
3.498 3.498 0.000
Ba Tc Ag
1 1 1
direct
0.000 0.000 0.000 Ba
0.250 0.250 0.250 Tc
0.500 0.500 0.500 Ag
```

(5)
First-principles (PBE) data for a relaxed structure of BaTcAg2, as listed in the Alexandria database.

**Density**: 6.8 Mg/m³
**Space-group type**: No. 12
**Energy above the lowest structure with this stoichiometry**: 0.0000 eV per atom
**Energy of formation from the pure elements**: 0.471 eV/atom

```
BaTcAg2
1.0
4.075 -2.353 0.000
4.075 2.353 0.000
-2.730 0.000 5.717
Ba Tc Ag
1 1 2
direct
0.000 0.000 0.000 Ba
0.500 0.500 0.500 Tc
0.194 0.194 0.583 Ag
0.806 0.806 0.417 Ag
```

(6)
First-principles (PBE) data for a relaxed structure of BaTcAg, as listed in the Alexandria database.

**Density**: 5.6 Mg/m³
**Space-group type**: No. 216
**Energy above the lowest structure with this stoichiometry**: 0.7802 eV per atom
**Energy of formation from the pure elements**: 1.561 eV/atom

```
BaTcAg
1.0
0.000 3.695 3.695
3.695 0.000 3.695
3.695 3.695 0.000
Ba Tc Ag
1 1 1
direct
0.000 0.000 0.000 Ba
0.250 0.250 0.250 Tc
0.750 0.750 0.750 Ag
```

(7)
First-principles (PBE) data for a relaxed structure of BaTcAg2, as listed in the Alexandria database.

**Density**: 7.9 Mg/m³
**Space-group type**: No. 71
**Energy above the lowest structure with this stoichiometry**: 0.2187 eV per atom
**Energy of formation from the pure elements**: 0.690 eV/atom

```
BaTcAg2
1.0
-1.679 2.624 5.361
1.679 -2.624 5.361
1.679 2.624 -5.361
Ba Tc Ag
1 1 2
direct
0.000 0.000 0.000 Ba
0.500 0.500 0.000 Tc
0.283 0.783 0.500 Ag
0.717 0.217 0.500 Ag
```

(8)
First-principles (PBE) data for a relaxed structure of BaTcAg2, as listed in the Alexandria database.

**Density**: 7.9 Mg/m³
**Space-group type**: No. 10
**Energy above the lowest structure with this stoichiometry**: 0.1304 eV per atom
**Energy of formation from the pure elements**: 0.601 eV/atom

```
BaTcAg2
1.0
3.513 0.000 0.000
0.000 3.555 0.000
-0.008 0.000 7.598
Ba Tc Ag
1 1 2
direct
0.000 0.000 0.000 Ba
0.000 0.000 0.500 Tc
0.500 0.500 0.314 Ag
0.500 0.500 0.686 Ag
```

(9)
First-principles (PBE) data for a relaxed structure of BaTcAg2, as listed in the Alexandria database.

**Density**: 7.8 Mg/m³
**Space-group type**: No. 139
**Energy above the lowest structure with this stoichiometry**: 0.2760 eV per atom
**Energy of formation from the pure elements**: 0.747 eV/atom

```
BaTcAg2
1.0
-2.302 2.302 4.523
2.302 -2.302 4.523
2.302 2.302 -4.523
Ba Tc Ag
1 1 2
direct
0.000 0.000 0.000 Ba
0.500 0.500 0.000 Tc
0.250 0.750 0.500 Ag
0.750 0.250 0.500 Ag
```

(10)
First-principles (PBE) data for a relaxed structure of BaTcAg3, as listed in the Alexandria database.

**Density**: 4.5 Mg/m³
**Space-group type**: No. 221
**Energy above the lowest structure with this stoichiometry**: 1.2305 eV per atom
**Energy of formation from the pure elements**: 1.827 eV/atom

```
BaTcAg3
1.0
5.907 0.000 0.000
0.000 5.907 0.000
0.000 0.000 5.907
Ba Tc Ag
1 1 3
direct
0.000 0.000 0.000 Ba
0.500 0.500 0.500 Tc
0.000 0.000 0.500 Ag
0.000 0.500 0.000 Ag
0.500 0.000 0.000 Ag
```

(11)
First-principles (PBE) data for a relaxed structure of BaTcAg2, as listed in the Alexandria database.

**Density**: 8.6 Mg/m³
**Space-group type**: No. 166
**Energy above the lowest structure with this stoichiometry**: 0.4123 eV per atom
**Energy of formation from the pure elements**: 0.883 eV/atom

```
BaTcAg2
1.0
1.542 0.890 10.536
-1.542 0.890 10.536
0.000 -1.781 10.536
Ba Tc Ag
1 1 2
direct
0.000 0.000 0.000 Ba
0.500 0.500 0.500 Tc
0.238 0.238 0.238 Ag
0.762 0.762 0.762 Ag
```

(12)
First-principles (PBE) data for a relaxed structure of BaTcAg2, as listed in the Alexandria database.

**Density**: 8.7 Mg/m³
**Space-group type**: No. 160
**Energy above the lowest structure with this stoichiometry**: 0.3814 eV per atom
**Energy of formation from the pure elements**: 0.852 eV/atom

```
BaTcAg2
1.0
1.549 0.895 10.340
-1.549 0.895 10.340
0.000 -1.789 10.340
Ba Tc Ag
1 1 2
direct
0.000 0.000 0.000 Ba
0.758 0.758 0.758 Tc
0.236 0.236 0.236 Ag
0.496 0.496 0.496 Ag
```

(13)
First-principles (PBE) data for a relaxed structure of BaTcAg3, as listed in the Alexandria database.

**Density**: 6.5 Mg/m³
**Space-group type**: No. 221
**Energy above the lowest structure with this stoichiometry**: 0.0000 eV per atom
**Energy of formation from the pure elements**: 0.596 eV/atom

```
BaTcAg3
1.0
5.240 0.000 0.000
0.000 5.240 0.000
0.000 0.000 5.240
Ba Tc Ag
1 1 3
direct
0.000 0.000 0.000 Ba
0.500 0.500 0.500 Tc
0.000 0.500 0.500 Ag
0.500 0.000 0.500 Ag
0.500 0.500 0.000 Ag
```

(14)
First-principles (PBE) data for a relaxed structure of BaVTcAg2, as listed in the Alexandria database.

**Density**: 5.3 Mg/m³
**Space-group type**: No. 123
**Energy of formation from the pure elements**: 2.462 eV/atom

```
BaVTcAg2
1.0
5.566 0.000 0.000
0.000 5.566 0.000
0.000 0.000 5.068
Ba V Tc Ag
1 1 1 2
direct
0.000 0.000 0.000 Ba
0.500 0.500 0.500 V
0.000 0.000 0.500 Tc
0.000 0.500 0.000 Ag
0.500 0.000 0.000 Ag
```

(15)
First-principles (PBE) data for a relaxed structure of Ba2ZrTcAg, as listed in the Alexandria database.

**Density**: 4.7 Mg/m³
**Space-group type**: No. 123
**Energy of formation from the pure elements**: 0.871 eV/atom

```
Ba2ZrTcAg
1.0
6.543 0.000 0.000
0.000 6.543 0.000
0.000 0.000 4.672
Ba Zr Tc Ag
2 1 1 1
direct
0.000 0.500 0.000 Ba
0.500 0.000 0.000 Ba
0.000 0.000 0.000 Zr
0.000 0.000 0.500 Tc
0.500 0.500 0.500 Ag
```

Record-wise total DFT energy (no corrections) values, in eV/cell: -14.30, -12.80, -14.99, -11.85, -16.11, -10.46, -15.23, -15.59, -15.00, -11.71, -14.46, -14.58, -17.86, -14.80, -21.26